Ac5IrAu4 | PBE-GGA | optimized geometry

The value obtained for the distance to the lowest polymorph of the same formula is 0.000 eV/atom. The calculated formation energy is -0.7928 eV/atom.

a b c (Å): 7.8197 7.8197 7.8197
angles (deg): 99.54 99.54 131.96
Positions (direct):
1 Ac 0.0000 0.0000 0.0000
2 Ac 0.2211 0.4017 0.6228
3 Ac 0.4017 0.7789 0.1806
4 Ac 0.5983 0.2211 0.8194
5 Ac 0.7789 0.5983 0.3772
6 Ir 0.5000 0.5000 0.0000
7 Au 0.0921 0.6938 0.7859
8 Au 0.3062 0.0921 0.3983
9 Au 0.6938 0.9079 0.6017
10 Au 0.9079 0.3062 0.2141

---

Ac4Ir2Au | PBE-GGA | optimized geometry

The value obtained for the distance to the lowest polymorph of the same formula is 0.000 eV/atom. The calculated formation energy is -0.7064 eV/atom.

a b c (Å): 7.4925 7.4925 14.7376
angles (deg): 90.00 90.00 146.17
Positions (direct):
1 Ac 0.0000 0.0000 0.0000
2 Ac 0.0000 0.0000 0.5000
3 Ac 0.2686 0.7314 0.6121
4 Ac 0.2686 0.7314 0.8879
5 Ac 0.4505 0.5495 0.2500
6 Ac 0.5495 0.4505 0.7500
7 Ac 0.7314 0.2686 0.1121
8 Ac 0.7314 0.2686 0.3879
9 Ir 0.3679 0.6321 0.0662
10 Ir 0.3679 0.6321 0.4338
11 Ir 0.6321 0.3679 0.5662
12 Ir 0.6321 0.3679 0.9338
13 Au 0.1158 0.8842 0.2500
14 Au 0.8842 0.1158 0.7500

---

Across the entries above, magnetization takes the values 0.0000; 0.0000 μB/atom, respectively.